# In2GeAu

An optimized crystal structure of In2GeAu (GGA-PBE, Alexandria).

## Properties
- DOS(E_F): 6.78 states/eV per cell
- Calculated formation energy: 9.3 kJ/mol of atoms
- Total energy: -3.246 eV/atom
- Total magnetic moment: 0.00 μB per cell
- Symmetry: I-42d
- Crystal system: tetragonal

Cell: 4.319 4.319 19.909 Å, 90.00 90.00 90.00°
Element x y z (fractional)
In 0.248 0.250 0.125
In 0.250 0.748 0.375
In 0.250 0.752 0.875
In 0.252 0.250 0.625
In 0.748 0.750 0.625
In 0.750 0.248 0.875
In 0.750 0.252 0.375
In 0.752 0.750 0.125
Ge 0.000 0.000 0.500
Ge 0.000 0.500 0.750
Ge 0.500 0.000 0.250
Ge 0.500 0.500 0.000
Au 0.000 0.000 0.000
Au 0.000 0.500 0.250
Au 0.500 0.000 0.750
Au 0.500 0.500 0.500



# TaSiHg2

An optimized crystal structure of TaSiHg2 (GGA-PBE, Alexandria).

## Properties
- DOS(E_F): 3.09 states/eV per cell
- Total energy: -4.008 eV/atom
- Total magnetic moment: 0.00 μB per cell
- Formation energy from raw total energies: 178 kJ/mol of formula units
- Symmetry: P4/mmm
- Crystal system: tetragonal

Cell: 3.935 3.935 4.899 Å, 90.00 90.00 90.00°
Element x y z (fractional)
Ta 0.000 0.000 0.000
Si 0.500 0.500 0.000
Hg 0.000 0.500 0.500
Hg 0.500 0.000 0.500